Record 1
A plane-wave DFT calculation with GGA-PBEsol was carried out for a relaxed structure of MgAgSb2.

The value obtained for the calculated volume is 23.0 Å³ per atom. The calculation puts the uncorrected formation energy at -0.056 eV/atom. Its crystal system is orthorhombic.

It has space group Pmm2 (No. 25), with a = 3.115 Å, b = 4.168 Å, c = 7.099 Å, α = 90.00°, β = 90.00° and γ = 90.00°. The asymmetric unit holds Mg at (0.000, 0.000, 0.000), Ag at (0.500, 0.500, 0.787), Sb at (0.000, 0.000, 0.578) and Sb at (0.500, 0.500, 0.211).



Record 2
A plane-wave DFT calculation with GGA-PBEsol was carried out for a relaxed structure of MgAgSb.

The value obtained for the calculated volume is 22.6 Å³ per atom. The calculation puts the uncorrected formation energy at -0.255 eV/atom. Its crystal system is cubic. Its offset from the most stable computed form is 0.000 eV/atom.

It has space group F-43m (No. 216), with a = 6.474 Å, b = 6.474 Å, c = 6.474 Å, α = 90.00°, β = 90.00° and γ = 90.00°. The asymmetric unit holds Mg at (0.000, 0.000, 0.000), Ag at (0.250, 0.250, 0.750) and Sb at (0.000, 0.000, 0.500).



Record 3
A plane-wave DFT calculation with GGA-PBEsol was carried out for a relaxed structure of MgAg2Sb.

The value obtained for the calculated volume is 19.6 Å³ per atom. The calculation puts the uncorrected formation energy at -0.080 eV/atom. Its crystal system is orthorhombic.

It has space group Pmm2 (No. 25), with a = 3.272 Å, b = 4.007 Å, c = 5.982 Å, α = 90.00°, β = 90.00° and γ = 90.00°. The asymmetric unit holds Mg at (0.000, 0.000, 0.000), Ag at (0.000, 0.000, 0.541), Ag at (0.500, 0.500, 0.770) and Sb at (0.500, 0.500, 0.279).